1.
Compound: K3Sn9Hg2
Source: Alexandria via LeMat-Bulk
Functional: PBE
Structure: optimized geometry

```
K3Sn9Hg2
1.0
-2.694 5.507 7.335
2.694 -5.507 7.335
2.694 5.507 -7.335
K Sn Hg
3 9 2
Cartesian
0.000 0.000 0.000 K
0.000 0.000 4.369 K
0.000 0.000 10.301 K
2.694 -1.547 2.234 Sn
2.694 -2.433 5.154 Sn
2.694 1.547 2.234 Sn
0.000 3.074 2.181 Sn
0.000 5.507 0.000 Sn
2.694 2.433 5.154 Sn
0.000 3.959 5.101 Sn
0.000 7.940 2.181 Sn
0.000 7.054 5.101 Sn
2.694 3.694 0.000 Hg
0.000 1.813 7.335 Hg
```

Output
- N(E_F): 5.63 states/eV per cell
- Formation energy: -0.12 eV/atom
- Space-group type: Immm, No. 71
- M_tot: 0.0 μB/f.u.

=====

2.
Compound: K3Sn2Hg9
Source: Alexandria via LeMat-Bulk
Functional: PBE
Structure: optimized geometry

```
K3Sn2Hg9
1.0
-2.789 4.915 7.782
2.789 -4.915 7.782
2.789 4.915 -7.782
K Sn Hg
3 2 9
Cartesian
0.000 0.000 0.000 K
0.000 0.000 4.343 K
0.000 0.000 11.220 K
2.789 3.364 0.000 Sn
0.000 1.550 7.782 Sn
2.789 -1.490 2.400 Hg
2.789 -1.965 5.479 Hg
2.789 1.490 2.400 Hg
0.000 2.950 2.303 Hg
0.000 4.915 0.000 Hg
2.789 1.965 5.479 Hg
0.000 3.425 5.381 Hg
0.000 6.879 2.303 Hg
0.000 6.404 5.381 Hg
```

Output
- N(E_F): 5.42 states/eV per cell
- Formation energy: -0.17 eV/atom
- Space-group type: Immm, No. 71
- M_tot: 0.0 μB/f.u.

=====

3.
Compound: K3Sn2Hg3
Source: Alexandria via LeMat-Bulk
Functional: PBE
Structure: optimized geometry

```
K3Sn2Hg3
1.0
2.626 -6.069 0.000
2.626 6.069 0.000
0.000 0.000 17.329
K Sn Hg
6 4 6
Cartesian
2.626 5.100 12.997 K
2.626 1.116 10.466 K
2.626 1.116 15.527 K
2.626 -1.116 1.802 K
2.626 -1.116 6.863 K
2.626 -5.100 4.332 K
2.626 2.515 1.598 Sn
2.626 2.515 7.066 Sn
2.626 -2.515 10.263 Sn
2.626 -2.515 15.731 Sn
2.626 4.696 9.311 Hg
2.626 4.696 16.683 Hg
2.626 3.235 4.332 Hg
2.626 -3.235 12.997 Hg
2.626 -4.696 0.646 Hg
2.626 -4.696 8.018 Hg
```

Output
- N(E_F): 7.99 states/eV per cell
- Formation energy: -0.21 eV/atom
- Space-group type: Cmcm, No. 63
- M_tot: 0.0 μB/f.u.

=====

4.
Compound: K2Sn5Hg
Source: Alexandria via LeMat-Bulk
Functional: PBE
Structure: optimized geometry

```
K2Sn5Hg
1.0
-3.260 3.260 6.474
3.260 -3.260 6.474
3.260 3.260 -6.474
K Sn Hg
2 5 1
Cartesian
3.260 0.000 0.000 K
0.000 3.260 0.000 K
0.000 0.000 1.529 Sn
1.765 1.765 3.292 Sn
1.495 -1.495 9.766 Sn
-1.495 1.495 9.766 Sn
1.495 1.495 9.766 Sn
0.000 0.000 5.071 Hg
```

Output
- N(E_F): 4.02 states/eV per cell
- Formation energy: -0.13 eV/atom
- Space-group type: I4mm, No. 107
- M_tot: 0.0 μB/f.u.

=====

5.
Compound: K2Sn3Hg5
Source: Alexandria via LeMat-Bulk
Functional: PBE
Structure: optimized geometry

```
K2Sn3Hg5
1.0
5.033 0.000 0.000
0.000 5.033 0.000
0.000 0.000 12.607
K Sn Hg
2 3 5
Cartesian
0.000 2.517 3.085 K
2.517 0.000 9.522 K
0.000 2.517 7.981 Sn
2.517 0.000 4.626 Sn
2.517 2.517 6.303 Sn
0.000 0.000 0.000 Hg
0.000 0.000 6.303 Hg
0.000 2.517 10.909 Hg
2.517 0.000 1.698 Hg
2.517 2.517 0.000 Hg
```

Output
- N(E_F): 5.46 states/eV per cell
- Formation energy: -0.15 eV/atom
- Excess energy over the best structure of this formula in the dataset: 0 kJ/mol of formula units
- Space-group type: P-4m2, No. 115
- M_tot: 0.0 μB/f.u.

=====

6.
Compound: KSnHg3
Source: Alexandria via LeMat-Bulk
Functional: PBE
Structure: optimized geometry

```
KSnHg3
1.0
5.807 0.000 0.000
0.000 5.807 0.000
0.000 0.000 5.807
K Sn Hg
1 1 3
Cartesian
0.000 0.000 0.000 K
2.903 2.903 2.903 Sn
0.000 2.903 2.903 Hg
2.903 0.000 2.903 Hg
2.903 2.903 0.000 Hg
```

Output
- N(E_F): 3.14 states/eV per cell
- Formation energy: -0.06 eV/atom
- Excess energy over the best structure of this formula in the dataset: 49 kJ/mol of formula units
- Space-group type: Pm-3m, No. 221
- M_tot: 0.0 μB/f.u.

=====

7.
Compound: K3Sn4Hg2
Source: Alexandria via LeMat-Bulk
Functional: PBE
Structure: optimized geometry

```
K3Sn4Hg2
1.0
5.306 0.000 0.000
2.498 6.371 0.000
1.709 2.433 9.271
K Sn Hg
3 4 2
Cartesian
0.000 0.000 0.000 K
4.778 6.441 3.290 K
4.735 2.363 5.981 K
2.117 3.853 3.204 Sn
2.612 2.442 0.367 Sn
6.902 6.362 8.904 Sn
7.397 4.951 6.067 Sn
4.685 6.061 6.744 Hg
4.829 2.743 2.528 Hg
```

Output
- N(E_F): 3.63 states/eV per cell
- Formation energy: -0.14 eV/atom
- Space-group type: P-1, No. 2
- M_tot: 0.0 μB/f.u.

=====

8.
Compound: KSnHg2
Source: Alexandria via LeMat-Bulk
Functional: PBE
Structure: optimized geometry

```
KSnHg2
1.0
2.439 -10.511 0.000
2.439 10.511 0.000
0.000 0.000 5.148
K Sn Hg
2 2 4
Cartesian
2.439 8.240 3.861 K
2.439 -8.240 1.287 K
2.439 3.670 3.861 Sn
2.439 -3.670 1.287 Sn
2.439 5.093 1.287 Hg
2.439 0.730 3.861 Hg
2.439 -0.730 1.287 Hg
2.439 -5.093 3.861 Hg
```

Output
- N(E_F): 3.76 states/eV per cell
- Formation energy: -0.17 eV/atom
- Space-group type: Cmcm, No. 63
- M_tot: 0.0 μB/f.u.

=====

9.
Compound: K2Sn2Hg
Source: Alexandria via LeMat-Bulk
Functional: PBE
Structure: optimized geometry

```
K2Sn2Hg
1.0
6.125 -2.644 0.000
6.125 2.644 0.000
-5.444 0.000 10.859
K Sn Hg
4 4 2
Cartesian
-1.063 0.000 4.111 K
-0.570 0.000 8.818 K
7.376 0.000 2.041 K
7.869 0.000 6.748 K
-4.059 0.000 10.400 Sn
2.514 0.000 4.364 Sn
4.291 0.000 6.495 Sn
10.864 0.000 0.459 Sn
3.744 0.000 1.636 Hg
3.062 0.000 9.224 Hg
```

Output
- N(E_F): 5.98 states/eV per cell
- Formation energy: -0.19 eV/atom
- Excess energy over the best structure of this formula in the dataset: 0 kJ/mol of formula units
- Space-group type: C2/m, No. 12
- M_tot: 0.0 μB/f.u.

=====

10.
Compound: K4SnHg4
Source: Alexandria via LeMat-Bulk
Functional: PBE
Structure: optimized geometry

```
K4SnHg4
1.0
10.068 0.000 0.000
0.000 10.068 0.000
0.000 0.000 7.134
K Sn Hg
8 2 8
Cartesian
0.355 6.843 0.664 K
1.809 9.713 4.232 K
3.225 5.389 4.232 K
4.679 8.258 0.664 K
5.389 1.809 6.470 K
6.843 4.679 2.903 K
8.258 0.355 2.903 K
9.713 3.225 6.470 K
2.517 2.517 1.784 Sn
7.551 7.551 5.351 Sn
0.078 3.600 2.993 Hg
1.434 0.078 0.574 Hg
3.600 4.956 0.574 Hg
4.956 1.434 2.993 Hg
5.112 8.634 4.142 Hg
6.468 5.112 6.560 Hg
8.634 9.989 6.560 Hg
9.989 6.468 4.142 Hg
```

Output
- N(E_F): 7.51 states/eV per cell
- Formation energy: -0.21 eV/atom
- Space-group type: P4_2/n, No. 86
- M_tot: 0.0 μB/f.u.

=====

11.
Compound: K4SnHg2
Source: Alexandria via LeMat-Bulk
Functional: PBE
Structure: optimized geometry

```
K4SnHg2
1.0
-3.413 3.413 8.390
3.413 -3.413 8.390
3.413 3.413 -8.390
K Sn Hg
4 1 2
Cartesian
3.413 0.000 0.000 K
0.000 0.000 3.400 K
0.000 3.413 0.000 K
0.000 0.000 13.380 K
0.000 0.000 0.000 Sn
0.000 0.000 6.864 Hg
0.000 0.000 9.915 Hg
```

Output
- N(E_F): 4.17 states/eV per cell
- Formation energy: -0.04 eV/atom
- Space-group type: I4/mmm, No. 139
- M_tot: 0.4 μB/f.u.

=====

12.
Compound: KSn3Hg
Source: Alexandria via LeMat-Bulk
Functional: PBE
Structure: optimized geometry

```
KSn3Hg
1.0
6.012 0.000 0.000
0.000 6.012 0.000
0.000 0.000 6.012
K Sn Hg
1 3 1
Cartesian
0.000 0.000 0.000 K
0.000 0.000 3.006 Sn
0.000 3.006 0.000 Sn
3.006 0.000 0.000 Sn
3.006 3.006 3.006 Hg
```

Output
- N(E_F): 6.79 states/eV per cell
- Formation energy: 1.04 eV/atom
- Excess energy over the best structure of this formula in the dataset: 572 kJ/mol of formula units
- Space-group type: Pm-3m, No. 221
- M_tot: 0.0 μB/f.u.

=====

13.
Compound: KTaSn2Hg
Source: Alexandria via LeMat-Bulk
Functional: PBE
Structure: optimized geometry

```
KTaSn2Hg
1.0
5.509 0.000 0.000
0.000 5.509 0.000
0.000 0.000 5.566
K Ta Sn Hg
1 1 2 1
Cartesian
0.000 0.000 0.000 K
2.754 2.754 0.000 Ta
0.000 2.754 2.783 Sn
2.754 0.000 2.783 Sn
0.000 0.000 2.783 Hg
```

Output
- N(E_F): 6.46 states/eV per cell
- Formation energy: 1.32 eV/atom
- Space-group type: P4/mmm, No. 123
- M_tot: 2.9 μB/f.u.

=====

14.
Compound: KSn2HgTe4
Source: Alexandria via LeMat-Bulk
Functional: PBE
Structure: optimized geometry

```
KSn2HgTe4
1.0
-4.362 4.678 6.457
4.362 -4.678 6.457
4.362 4.678 -6.457
K Sn Hg Te
2 4 2 8
Cartesian
-2.181 2.339 3.228 K
2.181 2.339 3.228 K
0.000 0.000 0.000 Sn
2.181 2.339 -3.228 Sn
2.181 -2.339 3.228 Sn
0.000 4.678 0.000 Sn
4.362 0.000 0.000 Hg
0.000 0.000 6.457 Hg
4.362 4.465 -3.254 Te
4.362 -0.213 3.254 Te
2.193 2.339 -0.134 Te
6.531 2.339 -0.134 Te
-2.169 2.339 6.591 Te
2.169 2.339 6.591 Te
0.000 4.891 3.202 Te
0.000 0.213 9.711 Te
```

Output
- Energy: -3.06 eV per atom
- N(E_F): 10.09 states/eV per cell
- Space-group type: Imma, No. 74
- M_tot: 0.0 μB/f.u.

=====

15.
Compound: KSnHgTe2
Source: Alexandria via LeMat-Bulk
Functional: PBE
Structure: optimized geometry

```
KSnHgTe2
1.0
9.812 0.000 0.000
0.000 4.224 0.000
-3.448 0.000 9.462
K Sn Hg Te
2 2 2 4
Cartesian
1.259 1.056 1.696 K
5.105 3.168 7.766 K
-1.038 1.056 6.350 Sn
7.402 3.168 3.112 Sn
2.174 1.056 7.014 Hg
4.190 3.168 2.448 Hg
0.236 3.168 4.400 Te
-1.193 3.168 8.440 Te
7.557 1.056 1.022 Te
6.128 1.056 5.062 Te
```

Output
- Energy: -2.72 eV per atom
- N(E_F): 2.33 states/eV per cell
- Space-group type: P2_1/m, No. 11
- M_tot: 0.0 μB/f.u.

=====

16.
Compound: K2SnHg2Te4
Source: Alexandria via LeMat-Bulk
Functional: PBE
Structure: optimized geometry

```
K2SnHg2Te4
1.0
8.584 -2.337 0.000
8.584 2.337 0.000
-2.795 0.000 8.025
K Sn Hg Te
2 1 2 4
Cartesian
1.991 0.000 0.559 K
12.383 0.000 7.467 K
-1.397 0.000 4.013 Sn
4.285 0.000 4.130 Hg
10.089 0.000 3.896 Hg
1.510 0.000 5.619 Te
6.283 0.000 6.087 Te
8.091 0.000 1.938 Te
12.864 0.000 2.406 Te
```

Output
- Energy: -2.65 eV per atom
- N(E_F): 0.02 states/eV per cell
- Space-group type: C2/m, No. 12
- M_tot: 0.0 μB/f.u.

=====

17.
Compound: KSnHg2Te4
Source: Alexandria via LeMat-Bulk
Functional: PBE
Structure: optimized geometry

```
KSnHg2Te4
1.0
-3.760 4.537 4.588
3.760 -4.537 4.588
3.760 4.537 -4.588
K Sn Hg Te
1 1 2 4
Cartesian
0.000 0.000 0.000 K
0.000 0.000 4.588 Sn
3.760 0.000 2.943 Hg
0.000 4.537 1.645 Hg
2.092 2.819 -1.706 Te
1.668 -1.718 6.294 Te
1.668 1.718 2.882 Te
2.092 6.256 1.706 Te
```

Output
- Energy: -2.59 eV per atom
- N(E_F): 4.64 states/eV per cell
- Space-group type: I222, No. 23
- M_tot: 0.0 μB/f.u.

=====

18.
Compound: KTiSnHg2
Source: Alexandria via LeMat-Bulk
Functional: PBE
Structure: optimized geometry

```
KTiSnHg2
1.0
5.580 0.000 0.000
0.000 5.580 0.000
0.000 0.000 6.074
K Ti Sn Hg
1 1 1 2
Cartesian
0.000 0.000 0.000 K
0.000 0.000 3.037 Ti
2.790 2.790 3.037 Sn
0.000 2.790 0.000 Hg
2.790 0.000 0.000 Hg
```

Output
- N(E_F): 7.67 states/eV per cell
- Formation energy: 1.28 eV/atom
- Space-group type: P4/mmm, No. 123
- M_tot: 0.2 μB/f.u.

=====

19.
Compound: KTlSnHg2
Source: Alexandria via LeMat-Bulk
Functional: PBE
Structure: optimized geometry

```
KTlSnHg2
1.0
5.900 0.000 0.000
0.000 5.900 0.000
0.000 0.000 5.847
K Tl Sn Hg
1 1 1 2
Cartesian
0.000 0.000 0.000 K
2.950 2.950 0.000 Tl
2.950 2.950 2.924 Sn
0.000 2.950 2.924 Hg
2.950 0.000 2.924 Hg
```

Output
- N(E_F): 4.01 states/eV per cell
- Formation energy: 0.03 eV/atom
- Space-group type: P4/mmm, No. 123
- M_tot: 0.0 μB/f.u.

=====

20.
Compound: K2TlSn4Hg3
Source: Alexandria via LeMat-Bulk
Functional: PBE
Structure: optimized geometry

```
K2TlSn4Hg3
1.0
4.949 0.000 0.000
0.000 4.949 0.000
0.000 0.000 12.753
K Tl Sn Hg
2 1 4 3
Cartesian
0.000 2.474 3.168 K
2.474 0.000 9.584 K
0.000 0.000 6.376 Tl
0.000 0.000 0.000 Sn
0.000 2.474 8.134 Sn
2.474 0.000 4.619 Sn
2.474 2.474 0.000 Sn
0.000 2.474 10.964 Hg
2.474 0.000 1.789 Hg
2.474 2.474 6.376 Hg
```

Output
- N(E_F): 2.98 states/eV per cell
- Formation energy: -0.13 eV/atom
- Space-group type: P-4m2, No. 115
- M_tot: 0.0 μB/f.u.